# 1
Compound: CsCuPdSe3
Source: OQMD via LeMat-Bulk
Functional: PBE-GGA
Structure: optimized geometry

Summary:
**Offset from the most stable computed form**: 0.005 eV per atom
**Total DFT energy (no corrections)**: -3.8203 eV/atom

Cell: 10.6103 3.9707 14.9068 Å, 90.00 90.00 90.00°
Space group Pnma (No. 62)
Asymmetric unit:
Cs 0.2470 0.2500 0.0053 x4
Cu 0.2413 0.2500 0.2974 x4
Pd 0.0085 0.2500 0.7477 x4
Se 0.0315 0.2500 0.3583 x4
Se 0.0458 0.7500 0.8537 x4
Se 0.2414 0.7500 0.2072 x4

---

# 2
Compound: CsCuPdSe3
Source: OQMD via LeMat-Bulk
Functional: PBE-GGA
Structure: optimized geometry

Summary:
**Offset from the most stable computed form**: 0.000 eV per atom
**Total DFT energy (no corrections)**: -3.8258 eV/atom

Cell: 3.8868 15.7122 10.3910 Å, 90.00 90.00 90.00°
Space group Cmcm (No. 63)
Asymmetric unit:
Cs 0.0000 0.2494 0.2500 x4
Cu 0.0000 0.4595 0.7500 x4
Pd 0.0000 0.0000 0.0000 x4
Se 0.0000 0.0504 0.7500 x4
Se 0.0000 0.3968 0.5383 x8

---

# 3
Compound: CsCuTePdSe2
Source: OQMD via LeMat-Bulk
Functional: PBE-GGA
Structure: optimized geometry

Summary:
**Total DFT energy (no corrections)**: -3.7381 eV/atom

Cell: 3.9142 16.4032 10.6945 Å, 90.00 90.00 90.00°
Space group Cmcm (No. 63)
Asymmetric unit:
Cs 0.0000 0.2401 0.2500 x4
Cu 0.0000 0.4529 0.7500 x4
Te 0.0000 0.0569 0.7500 x4
Pd 0.0000 0.0000 0.0000 x4
Se 0.0000 0.4009 0.5402 x8

---

# 4
Compound: CsCuTePd
Source: OQMD via LeMat-Bulk
Functional: PBE-GGA
Structure: optimized geometry

Summary:
**Offset from the most stable computed form**: 0.228 eV per atom
**Total DFT energy (no corrections)**: -2.7112 eV/atom

Cell: 7.5623 7.5623 7.5623 Å, 90.00 90.00 90.00°
Space group F-43m (No. 216)
Asymmetric unit:
Cs 0.0000 0.0000 0.0000 x4
Cu 0.0000 0.0000 0.5000 x4
Te 0.2500 0.2500 0.2500 x4
Pd 0.2500 0.2500 0.7500 x4

---

# 5
Compound: CsCuTe3Pd
Source: OQMD via LeMat-Bulk
Functional: PBE-GGA
Structure: optimized geometry

Summary:
**Offset from the most stable computed form**: 0.000 eV per atom
**Total DFT energy (no corrections)**: -3.5868 eV/atom

Cell: 4.1003 16.6092 11.0496 Å, 90.00 90.00 90.00°
Space group Cmcm (No. 63)
Asymmetric unit:
Cs 0.0000 0.2453 0.2500 x4
Cu 0.0000 0.4578 0.7500 x4
Te 0.0000 0.0536 0.7500 x4
Te 0.0000 0.3947 0.5346 x8
Pd 0.0000 0.0000 0.0000 x4

---

# 6
Compound: CsCuTePd
Source: OQMD via LeMat-Bulk
Functional: PBE-GGA
Structure: optimized geometry

Summary:
**Offset from the most stable computed form**: 0.000 eV per atom
**Total DFT energy (no corrections)**: -2.9393 eV/atom

Cell: 7.3590 7.3590 7.3590 Å, 90.00 90.00 90.00°
Space group F-43m (No. 216)
Asymmetric unit:
Cs 0.0000 0.0000 0.0000 x4
Cu 0.2500 0.2500 0.7500 x4
Te 0.0000 0.0000 0.5000 x4
Pd 0.2500 0.2500 0.2500 x4